No. 1
Compound: LaZnAu4
Source: the Alexandria database
Functional: PBE
Structure: optimized geometry

Unit cell a=7.9663 b=7.9663 c=7.9663 alpha=90.00 beta=90.00 gamma=90.00
Space group F-43m (No. 216)
Unique sites:
La 0.0000 0.0000 0.0000
Zn 0.2500 0.2500 0.7500
Au 0.1242 0.1242 0.3758

Calculated values
Magnetic moment ... 0.00 μB/atom
Calculated total energy ... -3.633 eV/atom
Calculated formation energy ... -40.0 kJ/mol of atoms



No. 2
Compound: La2Zn9Au
Source: the Alexandria database
Functional: PBE
Structure: optimized geometry

Unit cell a=5.5647 b=5.5647 c=25.8585 alpha=90.00 beta=90.00 gamma=120.00
Space group R-3m (No. 166, hexagonal axes)
Unique sites:
La 0.0000 0.0000 0.1405
Zn 0.0000 0.0000 0.3346
Zn 0.0000 0.0000 0.5000
Zn 0.0015 0.5008 0.9197
Au 0.0000 0.0000 0.0000

Calculated values
Magnetic moment ... 0.00 μB/atom
Calculated total energy ... -2.146 eV/atom
Calculated formation energy ... -9.3 kJ/mol of atoms



No. 3
Compound: LaZn2Au10
Source: the Alexandria database
Functional: PBE
Structure: optimized geometry

Unit cell a=5.5437 b=13.2210 c=13.6190 alpha=90.00 beta=90.00 gamma=90.00
Space group Fmmm (No. 69)
Unique sites:
La 0.0000 0.0000 0.0000
Zn 0.2500 0.0000 0.2500
Au 0.0000 0.1061 0.3867
Au 0.0000 0.1644 0.1752
Au 0.2500 0.2500 0.0000

Calculated values
Magnetic moment ... 0.00 μB/atom
Calculated total energy ... -3.393 eV/atom
Calculated formation energy ... -28.6 kJ/mol of atoms



No. 4
Compound: La3Zn8Au3
Source: the Alexandria database
Functional: PBE
Structure: optimized geometry

Unit cell a=16.1802 b=4.5363 c=9.2557 alpha=90.00 beta=123.60 gamma=90.00
Space group C2/m (No. 12)
Unique sites:
La 0.0000 0.0000 0.0000
La 0.2044 0.5000 0.6990
Zn 0.0017 0.5000 0.3157
Zn 0.1357 0.0000 0.4184
Zn 0.1379 0.0000 0.8468
Zn 0.1621 0.5000 0.3103
Au 0.0000 0.0000 0.5000
Au 0.1551 0.5000 0.0161

Calculated values
Magnetic moment ... 0.00 μB/atom
Calculated total energy ... -2.971 eV/atom
Calculated formation energy ... -46.8 kJ/mol of atoms



No. 5
Compound: LaZn4Au8
Source: the Alexandria database
Functional: PBE
Structure: optimized geometry

Unit cell a=9.3857 b=9.3857 c=5.4101 alpha=90.00 beta=90.00 gamma=90.00
Space group I4/mmm (No. 139)
Unique sites:
La 0.0000 0.0000 0.0000
Zn 0.2500 0.2500 0.2500
Au 0.0000 0.2180 0.5000
Au 0.0000 0.3384 0.0000

Calculated values
Magnetic moment ... 0.00 μB/atom
Calculated total energy ... -3.155 eV/atom
Calculated formation energy ... -35.4 kJ/mol of atoms



No. 6
Compound: LaZn2Au3
Source: the Alexandria database
Functional: PBE
Structure: optimized geometry

Unit cell a=10.2403 b=9.0481 c=5.3954 alpha=90.00 beta=90.00 gamma=90.00
Space group Cmcm (No. 63)
Unique sites:
La 0.0000 0.1970 0.2500
Zn 0.2245 0.5000 0.0000
Au 0.0000 0.4494 0.7500
Au 0.1765 0.2164 0.7500

Calculated values
Magnetic moment ... 0.00 μB/atom
Calculated total energy ... -3.413 eV/atom
Calculated formation energy ... -50.9 kJ/mol of atoms



What did the fifth record say?
Compound: LaZn4Au8
Source: the Alexandria database
Functional: PBE
Structure: optimized geometry

Unit cell a=9.3857 b=9.3857 c=5.4101 alpha=90.00 beta=90.00 gamma=90.00
Space group I4/mmm (No. 139)
Unique sites:
La 0.0000 0.0000 0.0000
Zn 0.2500 0.2500 0.2500
Au 0.0000 0.2180 0.5000
Au 0.0000 0.3384 0.0000

Calculated values
Magnetic moment ... 0.00 μB/atom
Calculated total energy ... -3.155 eV/atom
Calculated formation energy ... -35.4 kJ/mol of atoms